Computed, not measured: an optimized crystal structure of La2ScPd2 at the GGA-PBEsol level of DFT.

POSCAR file:
```
La2ScPd2
1.0
4.087 0.000 0.000
0.000 7.662 0.000
0.000 0.000 7.662
La Pd Sc
4 4 2
Direct
0.500 0.672 0.828
0.500 0.828 0.328
0.500 0.328 0.172
0.500 0.172 0.672
0.000 0.132 0.368
0.000 0.868 0.632
0.000 0.368 0.868
0.000 0.632 0.132
0.000 0.000 0.000
0.000 0.500 0.500
```

Values from the calculation:
energy of formation from the pure elements	-0.624	eV/atom
size of the total moment	0.0	μB/cell
theoretical density	7.41	g cm⁻³